No. 1
9
Lattice="-3.6791 2.3130 0.5648 -3.8797 -2.0366 0.0695 -2.2376 -0.3243 3.7541" Properties=species:S:1:pos:R:3 comment="PBE-GGA MgBe2H6, relaxed" dos_at_fermi_per_ev_atom=0.29 space_group="No. 225" dft_energy_ev_per_cell=-21.8 crystal_system=cubic polymorph_energy_mev_per_atom=923 pbc="T T T"
Mg 0.0000 0.0000 0.0000
Be -7.3473 -0.0360 3.2913
Be -2.4491 -0.0120 1.0971
H -5.4146 -1.0139 2.8843
H -6.0252 0.1032 1.5335
H -5.3296 0.8285 3.0942
H -4.3818 0.9659 1.5041
H -3.7712 -0.1512 2.8549
H -4.4668 -0.8765 1.2942


No. 2
4
Lattice="0.0000 2.6037 2.6037 2.6037 0.0000 2.6037 2.6037 2.6037 0.0000" Properties=species:S:1:pos:R:3 comment="PBE-GGA MgBeH2, relaxed" dos_at_fermi_per_ev_atom=0.30 space_group="No. 225" dft_energy_ev_per_cell=-9.5 crystal_system=cubic polymorph_energy_mev_per_atom=367 pbc="T T T"
Be 0.0000 0.0000 0.0000
Mg 2.6037 2.6037 2.6037
H 1.3019 1.3019 1.3019
H 3.9056 3.9056 3.9056


No. 3
10
Lattice="-1.2743 -4.6686 3.9426 -2.1127 -3.4424 -4.7591 2.5906 -1.0419 -0.3964" Properties=species:S:1:pos:R:3 comment="PBE-GGA Mg2BeH2, relaxed" dos_at_fermi_per_ev_atom=0.27 space_group="No. 127" dft_energy_ev_per_cell=-23.1 crystal_system=tetragonal polymorph_energy_mev_per_atom=269 pbc="T T T"
Be 0.0000 0.0000 0.0000
Be -1.6935 -4.0555 -0.4083
Mg -0.3672 -3.6938 -2.7239
Mg -1.3045 -6.5171 -1.4287
Mg -0.4291 -5.4591 1.5110
Mg 0.5081 -2.6358 0.2157
H -2.3198 -4.7467 -2.6841
H -2.4371 -6.2341 0.4580
H -1.0672 -3.3643 1.8676
H -0.9499 -1.8769 -1.2746


No. 4
8
Lattice="3.9863 0.0000 0.0000 0.0000 3.9863 0.0000 1.9932 1.9932 4.7438" Properties=species:S:1:pos:R:3 comment="PBE-GGA MgBeH2, relaxed" dos_at_fermi_per_ev_atom=0.24 space_group="No. 122" dft_energy_ev_per_cell=-21.8 crystal_system=tetragonal polymorph_energy_mev_per_atom=0 pbc="T T T"
Be 1.9932 1.9932 0.0000
Be 1.9932 3.9863 2.3719
Mg 0.0000 0.0000 0.0000
Mg 3.9863 1.9932 2.3719
H 2.0061 0.9966 1.1859
H 1.9802 2.9897 1.1859
H 2.9897 3.9733 3.5578
H 4.9829 3.9993 3.5578


No. 5
5
Lattice="4.2422 0.0000 0.0000 0.0000 4.2422 0.0000 0.0000 0.0000 4.2422" Properties=species:S:1:pos:R:3 comment="PBE-GGA Mg3BeH, relaxed" dos_at_fermi_per_ev_atom=0.42 space_group="No. 221" dft_energy_ev_per_cell=-10.2 crystal_system=cubic polymorph_energy_mev_per_atom=0 pbc="T T T"
Be 2.1211 2.1211 2.1211
Mg 0.0000 2.1211 0.0000
Mg 0.0000 0.0000 2.1211
Mg 2.1211 0.0000 0.0000
H 0.0000 0.0000 0.0000


No. 6
5
Lattice="4.5260 0.0000 0.0000 0.0000 4.5260 0.0000 2.2630 2.2630 2.9907" Properties=species:S:1:pos:R:3 comment="PBE-GGA Mg2BeH2, relaxed" dos_at_fermi_per_ev_atom=0.16 space_group="No. 139" dft_energy_ev_per_cell=-12.9 crystal_system=tetragonal polymorph_energy_mev_per_atom=0 pbc="T T T"
Be 0.0000 0.0000 0.0000
Mg 4.5260 2.2630 1.4954
Mg 2.2630 4.5260 1.4954
H 2.2630 2.2630 1.5658
H 4.5260 4.5260 1.4249